[1]
DFT (GGA-PBEsol) results for a relaxed structure of CdN2O2.

a b c (Å): 6.500 6.500 6.500
angles (deg): 155.54 155.54 34.86
Sites, in units of the cell vectors:
Cd: 0.000 0.000 0.000
N: 0.250 0.750 0.500
N: 0.750 0.250 0.500
O: 0.394 0.394 0.000
O: 0.606 0.606 0.000

Computed properties:
Crystal system: tetragonal
Space group: I4/mmm
Formation energy (no corrections), meV per atom: 1599
Total moment, Bohr magnetons per cell: 0.00

***

[2]
DFT (GGA-PBEsol) results for a relaxed structure of NiMo2Br.

a b c (Å): 4.799 4.799 2.863
angles (deg): 90.00 90.00 116.25
Sites, in units of the cell vectors:
Ni: 0.000 0.000 0.000
Mo: 0.000 0.500 0.500
Mo: 0.500 0.000 0.500
Br: 0.500 0.500 0.000

Computed properties:
Crystal system: orthorhombic
Space group: Cmmm
Formation energy (no corrections), meV per atom: 807
Total moment, Bohr magnetons per cell: 0.00

***

[3]
DFT (GGA-PBEsol) results for a relaxed structure of CsInSe2.

a b c (Å): 7.251 7.251 6.616
angles (deg): 104.82 104.82 111.08
Sites, in units of the cell vectors:
Cs: 0.134 0.866 0.750
Cs: 0.866 0.134 0.250
In: 0.492 0.508 0.250
In: 0.508 0.492 0.750
Se: 0.185 0.418 0.879
Se: 0.418 0.185 0.379
Se: 0.582 0.815 0.621
Se: 0.815 0.582 0.121

Computed properties:
Crystal system: monoclinic
Space group: C2/c
Formation energy (no corrections), meV per atom: -891
Total moment, Bohr magnetons per cell: 0.00

***

[4]
DFT (GGA-PBEsol) results for a relaxed structure of Ba3SrRh.

a b c (Å): 6.101 6.101 6.101
angles (deg): 90.00 90.00 90.00
Sites, in units of the cell vectors:
Ba: 0.000 0.000 0.500
Ba: 0.000 0.500 0.000
Ba: 0.500 0.000 0.000
Sr: 0.500 0.500 0.500
Rh: 0.000 0.000 0.000

Computed properties:
Formation enthalpy at 0 K, eV/atom: -0.066
Crystal system: cubic
Space group: Pm-3m
Total moment, Bohr magnetons per cell: 0.00

***

[5]
DFT (GGA-PBEsol) results for a relaxed structure of BaYSi.

a b c (Å): 4.865 4.865 4.779
angles (deg): 90.00 90.00 120.00
Sites, in units of the cell vectors:
Ba: 0.000 0.000 0.000
Y: 0.667 0.333 0.498
Si: 0.333 0.667 0.508

Computed properties:
Crystal system: trigonal
Space group: P3m1
Formation energy (no corrections), meV per atom: -257
Total moment, Bohr magnetons per cell: 0.00

***

[6]
DFT (GGA-PBEsol) results for a relaxed structure of CaRh2.

a b c (Å): 4.481 4.481 2.934
angles (deg): 90.00 90.00 120.00
Sites, in units of the cell vectors:
Ca: 0.000 0.000 0.000
Rh: 0.333 0.667 0.500
Rh: 0.667 0.333 0.500

Computed properties:
Formation enthalpy at 0 K, eV/atom: 0.011
Crystal system: hexagonal
Space group: P6/mmm
Total moment, Bohr magnetons per cell: 0.00

***

[7]
DFT (GGA-PBEsol) results for a relaxed structure of Cd2AgPb.

a b c (Å): 10.062 10.062 10.062
angles (deg): 18.34 18.34 18.34
Sites, in units of the cell vectors:
Cd: 0.241 0.241 0.241
Cd: 0.759 0.759 0.759
Ag: 0.500 0.500 0.500
Pb: 0.000 0.000 0.000

Computed properties:
Formation enthalpy at 0 K, eV/atom: 0.072
Crystal system: trigonal
Space group: R-3m
Total moment, Bohr magnetons per cell: 0.00

***

[8]
DFT (GGA-PBEsol) results for a relaxed structure of Na3TbV2O8.

a b c (Å): 14.833 14.833 13.920
angles (deg): 91.45 91.45 21.41
Sites, in units of the cell vectors:
Na: 0.010 0.990 0.500
Na: 0.058 0.154 0.853
Na: 0.150 0.272 0.194
Na: 0.154 0.058 0.353
Na: 0.272 0.150 0.694
Na: 0.305 0.326 0.035
Na: 0.326 0.305 0.535
Na: 0.397 0.479 0.940
Na: 0.479 0.397 0.440
Na: 0.523 0.554 0.613
Na: 0.554 0.523 0.113
Na: 0.647 0.665 0.264
Na: 0.665 0.647 0.764
Na: 0.750 0.805 0.412
Na: 0.805 0.750 0.912
Na: 0.833 0.922 0.094
Na: 0.922 0.833 0.594
Na: 0.990 0.010 0.000
Tb: 0.045 0.929 0.249
Tb: 0.271 0.389 0.286
Tb: 0.389 0.271 0.786
Tb: 0.566 0.753 0.012
Tb: 0.753 0.566 0.512
Tb: 0.929 0.045 0.749
V: 0.055 0.148 0.116
V: 0.148 0.055 0.616
V: 0.185 0.245 0.925
V: 0.245 0.185 0.425
V: 0.428 0.433 0.671
V: 0.433 0.428 0.171
V: 0.514 0.581 0.867
V: 0.581 0.514 0.367
V: 0.733 0.802 0.164
V: 0.802 0.733 0.664
V: 0.882 0.889 0.362
V: 0.889 0.882 0.862
O: 0.008 0.080 0.141
O: 0.012 0.204 0.508
O: 0.021 0.342 0.358
O: 0.027 0.242 0.696
O: 0.080 0.008 0.641
O: 0.085 0.637 0.429
O: 0.114 0.448 0.692
O: 0.125 0.294 0.538
O: 0.135 0.585 0.889
O: 0.175 0.734 0.646
O: 0.197 0.873 0.846
O: 0.204 0.012 0.008
O: 0.237 0.676 0.105
O: 0.242 0.027 0.196
O: 0.255 0.289 0.895
O: 0.289 0.255 0.395
O: 0.294 0.125 0.038
O: 0.342 0.021 0.858
O: 0.342 0.402 0.651
O: 0.358 0.525 0.286
O: 0.402 0.342 0.151
O: 0.402 0.671 0.265
O: 0.439 0.592 0.456
O: 0.448 0.114 0.192
O: 0.468 0.767 0.609
O: 0.525 0.358 0.786
O: 0.528 0.868 0.418
O: 0.585 0.135 0.389
O: 0.592 0.439 0.956
O: 0.592 0.618 0.394
O: 0.618 0.592 0.894
O: 0.631 0.924 0.763
O: 0.637 0.085 0.929
O: 0.671 0.402 0.765
O: 0.676 0.237 0.605
O: 0.701 0.718 0.638
O: 0.718 0.701 0.138
O: 0.734 0.175 0.146
O: 0.734 0.865 0.572
O: 0.767 0.468 0.109
O: 0.794 0.951 0.748
O: 0.865 0.734 0.072
O: 0.868 0.528 0.918
O: 0.873 0.197 0.346
O: 0.906 0.981 0.382
O: 0.924 0.631 0.263
O: 0.951 0.794 0.248
O: 0.981 0.906 0.882

Computed properties:
Crystal system: monoclinic
Space group: Cc
Formation energy (no corrections), meV per atom: -2535
Total moment, Bohr magnetons per cell: 0.00

***

[9]
DFT (GGA-PBEsol) results for a relaxed structure of HoAlSi.

a b c (Å): 5.433 5.433 5.631
angles (deg): 90.00 90.00 137.12
Sites, in units of the cell vectors:
Ho: 0.195 0.805 0.750
Ho: 0.805 0.195 0.250
Al: 0.500 0.500 0.000
Al: 0.500 0.500 0.500
Si: 0.100 0.900 0.250
Si: 0.900 0.100 0.750

Computed properties:
Crystal system: orthorhombic
Space group: Cmcm
Formation energy (no corrections), meV per atom: -668
Total moment, Bohr magnetons per cell: 0.00

***

[10]
DFT (GGA-PBEsol) results for a relaxed structure of NaHg3Ir.

a b c (Å): 5.185 5.185 5.185
angles (deg): 90.00 90.00 90.00
Sites, in units of the cell vectors:
Na: 0.000 0.000 0.000
Hg: 0.000 0.500 0.500
Hg: 0.500 0.000 0.500
Hg: 0.500 0.500 0.000
Ir: 0.500 0.500 0.500

Computed properties:
Formation enthalpy at 0 K, eV/atom: 0.124
Crystal system: cubic
Space group: Pm-3m
Total moment, Bohr magnetons per cell: 0.00

***

[11]
DFT (GGA-PBEsol) results for a relaxed structure of CuPCl2.

a b c (Å): 3.182 3.182 7.662
angles (deg): 90.00 90.00 90.00
Sites, in units of the cell vectors:
Cu: 0.000 0.000 0.000
P: 0.500 0.500 0.897
Cl: 0.000 0.000 0.281
Cl: 0.500 0.500 0.635

Computed properties:
Crystal system: tetragonal
Space group: P4mm
Formation energy (no corrections), meV per atom: -219
Total moment, Bohr magnetons per cell: 0.00

***

[12]
DFT (GGA-PBEsol) results for a relaxed structure of LiHgPt2.

a b c (Å): 3.923 3.923 4.003
angles (deg): 90.00 90.00 90.00
Sites, in units of the cell vectors:
Li: 0.000 0.000 0.000
Hg: 0.500 0.500 0.000
Pt: 0.000 0.500 0.500
Pt: 0.500 0.000 0.500

Computed properties:
Formation enthalpy at 0 K, eV/atom: -0.321
Crystal system: tetragonal
Space group: P4/mmm
Total moment, Bohr magnetons per cell: 0.00

***

[13]
DFT (GGA-PBEsol) results for a relaxed structure of Mn5Os.

a b c (Å): 4.556 4.556 4.556
angles (deg): 60.00 60.00 60.00
Sites, in units of the cell vectors:
Mn: 0.000 0.000 0.000
Mn: 0.122 0.626 0.626
Mn: 0.626 0.122 0.626
Mn: 0.626 0.626 0.122
Mn: 0.626 0.626 0.626
Os: 0.250 0.250 0.250

Computed properties:
Formation enthalpy at 0 K, eV/atom: 0.071
Crystal system: cubic
Space group: F-43m
Total moment, Bohr magnetons per cell: 0.08

***

[14]
DFT (GGA-PBEsol) results for a relaxed structure of SrHgRu2.

a b c (Å): 9.578 9.578 9.578
angles (deg): 18.04 18.04 18.04
Sites, in units of the cell vectors:
Sr: 0.000 0.000 0.000
Hg: 0.500 0.500 0.500
Ru: 0.244 0.244 0.244
Ru: 0.756 0.756 0.756

Computed properties:
Formation enthalpy at 0 K, eV/atom: 0.953
Crystal system: trigonal
Space group: R-3m
Total moment, Bohr magnetons per cell: 0.84

***

[15]
DFT (GGA-PBEsol) results for a relaxed structure of BaIn2Ni.

a b c (Å): 5.163 5.163 5.163
angles (deg): 60.00 60.00 60.00
Sites, in units of the cell vectors:
Ba: 0.000 0.000 0.000
In: 0.500 0.500 0.500
In: 0.750 0.750 0.750
Ni: 0.250 0.250 0.250

Computed properties:
Formation enthalpy at 0 K, eV/atom: 0.079
Crystal system: cubic
Space group: F-43m
Total moment, Bohr magnetons per cell: 0.00

***

[16]
DFT (GGA-PBEsol) results for a relaxed structure of Ba2SrSc2.

a b c (Å): 13.297 13.297 13.297
angles (deg): 162.18 162.18 25.30
Sites, in units of the cell vectors:
Ba: 0.128 0.128 0.000
Ba: 0.872 0.872 0.000
Sr: 0.500 0.500 0.000
Sc: 0.250 0.750 0.500
Sc: 0.750 0.250 0.500

Computed properties:
Formation enthalpy at 0 K, eV/atom: 0.339
Crystal system: tetragonal
Space group: I4/mmm
Total moment, Bohr magnetons per cell: 0.00

***

[17]
DFT (GGA-PBEsol) results for a relaxed structure of BaIn2Se.

a b c (Å): 8.788 8.788 8.788
angles (deg): 27.85 27.85 27.85
Sites, in units of the cell vectors:
Ba: 0.000 0.000 0.000
In: 0.517 0.517 0.517
In: 0.777 0.777 0.777
Se: 0.256 0.256 0.256

Computed properties:
Crystal system: trigonal
Space group: R3m
Formation energy (no corrections), meV per atom: -528
Total moment, Bohr magnetons per cell: 0.00

***

[18]
DFT (GGA-PBEsol) results for a relaxed structure of CrAsC3.

a b c (Å): 3.813 3.813 3.813
angles (deg): 90.00 90.00 90.00
Sites, in units of the cell vectors:
Cr: 0.000 0.000 0.000
As: 0.500 0.500 0.500
C: 0.000 0.000 0.500
C: 0.000 0.500 0.000
C: 0.500 0.000 0.000

Computed properties:
Formation enthalpy at 0 K, eV/atom: 1.962
Crystal system: cubic
Space group: Pm-3m
Total moment, Bohr magnetons per cell: 0.00

***

[19]
DFT (GGA-PBEsol) results for a relaxed structure of HfSi2PbS.

a b c (Å): 4.995 4.995 5.065
angles (deg): 90.00 90.00 90.00
Sites, in units of the cell vectors:
Hf: 0.000 0.000 0.000
Si: 0.000 0.500 0.500
Si: 0.500 0.000 0.500
Pb: 0.500 0.500 0.500
S: 0.500 0.500 0.000

Computed properties:
Crystal system: tetragonal
Space group: P4/mmm
Formation energy (no corrections), meV per atom: 1386
Total moment, Bohr magnetons per cell: 0.00

***

[20]
DFT (GGA-PBEsol) results for a relaxed structure of CsRbScI2.

a b c (Å): 6.852 6.852 6.991
angles (deg): 90.00 90.00 90.00
Sites, in units of the cell vectors:
Cs: 0.000 0.000 0.000
Rb: 0.000 0.000 0.500
Sc: 0.500 0.500 0.500
I: 0.000 0.500 0.000
I: 0.500 0.000 0.000

Computed properties:
Crystal system: tetragonal
Space group: P4/mmm
Formation energy (no corrections), meV per atom: 85
Total moment, Bohr magnetons per cell: 0.99

***

no.,calculated density (g/cm³)
1,6.1
2,9.3
3,4.7
4,4.4
5,4.3
6,8.0
7,10.2
8,4.1
9,6.5
10,9.7
11,3.5
12,16.1
13,11.5
14,11.1
15,7.3
16,3.4
17,5.7
18,4.9
19,6.2
20,2.6